Entry 1:
Entry from the Alexandria database: crystalline TbNpPtRh at its relaxed geometry (GGA-PBE).

Values from the calculation:
Calculated density in Mg/m³: 13.8
Space-group type: F-43m, No. 216
Energy in eV per atom: -8.35

Cell lengths 6.933, 6.933, 6.933 Å; angles 90.00, 90.00, 90.00 degrees
Positions (direct):
Tb: 0.000 0.000 0.000
Tb: 0.000 0.500 0.500
Tb: 0.500 0.000 0.500
Tb: 0.500 0.500 0.000
Np: 0.000 0.000 0.500
Np: 0.000 0.500 0.000
Np: 0.500 0.000 0.000
Np: 0.500 0.500 0.500
Pt: 0.250 0.250 0.750
Pt: 0.250 0.750 0.250
Pt: 0.750 0.250 0.250
Pt: 0.750 0.750 0.750
Rh: 0.250 0.250 0.250
Rh: 0.250 0.750 0.750
Rh: 0.750 0.250 0.750
Rh: 0.750 0.750 0.250

***

Entry 2:
Entry from the Alexandria database: crystalline Th2NpPtRh5 at its relaxed geometry (GGA-PBE).

Values from the calculation:
Calculated density in Mg/m³: 12.4
Space-group type: I4/mcm, No. 140
Energy in eV per atom: -8.11

Cell lengths 7.965, 7.965, 7.965 Å; angles 115.31, 115.31, 98.33 degrees
Positions (direct):
Th: 0.136 0.636 0.773
Th: 0.364 0.136 0.500
Th: 0.636 0.864 0.500
Th: 0.864 0.364 0.227
Np: 0.250 0.250 0.000
Np: 0.750 0.750 0.000
Pt: 0.250 0.750 0.500
Pt: 0.750 0.250 0.500
Rh: 0.000 0.000 0.000
Rh: 0.054 0.171 0.500
Rh: 0.171 0.671 0.117
Rh: 0.329 0.446 0.500
Rh: 0.446 0.946 0.117
Rh: 0.500 0.500 0.000
Rh: 0.554 0.054 0.883
Rh: 0.671 0.554 0.500
Rh: 0.829 0.329 0.883
Rh: 0.946 0.829 0.500

***

Entry 3:
Entry from the Alexandria database: crystalline TmNpPtRh at its relaxed geometry (GGA-PBE).

Values from the calculation:
Calculated density in Mg/m³: 14.4
Space-group type: F-43m, No. 216
Energy in eV per atom: -8.36

Cell lengths 6.877, 6.877, 6.877 Å; angles 90.00, 90.00, 90.00 degrees
Positions (direct):
Tm: 0.000 0.000 0.000
Tm: 0.000 0.500 0.500
Tm: 0.500 0.000 0.500
Tm: 0.500 0.500 0.000
Np: 0.000 0.000 0.500
Np: 0.000 0.500 0.000
Np: 0.500 0.000 0.000
Np: 0.500 0.500 0.500
Pt: 0.250 0.250 0.250
Pt: 0.250 0.750 0.750
Pt: 0.750 0.250 0.750
Pt: 0.750 0.750 0.250
Rh: 0.250 0.250 0.750
Rh: 0.250 0.750 0.250
Rh: 0.750 0.250 0.250
Rh: 0.750 0.750 0.750

***

Entry 4:
Entry from the Alexandria database: crystalline NpZnPtRh at its relaxed geometry (GGA-PBE).

Values from the calculation:
Calculated density in Mg/m³: 14.1
Space-group type: F-43m, No. 216
Energy in eV per atom: -7.32

Cell lengths 6.571, 6.571, 6.571 Å; angles 90.00, 90.00, 90.00 degrees
Positions (direct):
Np: 0.000 0.000 0.000
Np: 0.000 0.500 0.500
Np: 0.500 0.000 0.500
Np: 0.500 0.500 0.000
Zn: 0.000 0.000 0.500
Zn: 0.000 0.500 0.000
Zn: 0.500 0.000 0.000
Zn: 0.500 0.500 0.500
Pt: 0.250 0.250 0.250
Pt: 0.250 0.750 0.750
Pt: 0.750 0.250 0.750
Pt: 0.750 0.750 0.250
Rh: 0.250 0.250 0.750
Rh: 0.250 0.750 0.250
Rh: 0.750 0.250 0.250
Rh: 0.750 0.750 0.750

***

Entry 5:
Entry from the Alexandria database: crystalline NpScRuPt at its relaxed geometry (GGA-PBE).

Values from the calculation:
Calculated density in Mg/m³: 12.8
Space-group type: F-43m, No. 216
Energy in eV per atom: -9.15

Cell lengths 6.693, 6.693, 6.693 Å; angles 90.00, 90.00, 90.00 degrees
Positions (direct):
Np: 0.000 0.000 0.000
Np: 0.000 0.500 0.500
Np: 0.500 0.000 0.500
Np: 0.500 0.500 0.000
Sc: 0.000 0.000 0.500
Sc: 0.000 0.500 0.000
Sc: 0.500 0.000 0.000
Sc: 0.500 0.500 0.500
Ru: 0.250 0.250 0.250
Ru: 0.250 0.750 0.750
Ru: 0.750 0.250 0.750
Ru: 0.750 0.750 0.250
Pt: 0.250 0.250 0.750
Pt: 0.250 0.750 0.250
Pt: 0.750 0.250 0.250
Pt: 0.750 0.750 0.750

***

Entry 6:
Entry from the Alexandria database: crystalline Np2Si4RuPt3 at its relaxed geometry (GGA-PBE).

Values from the calculation:
Calculated density in Mg/m³: 12.3
Space-group type: P-4m2, No. 115
Energy in eV per atom: -8.23

Cell lengths 4.164, 4.164, 9.934 Å; angles 90.00, 90.00, 90.00 degrees
Positions (direct):
Np: 0.000 0.500 0.247
Np: 0.500 0.000 0.753
Si: 0.000 0.000 0.000
Si: 0.000 0.500 0.631
Si: 0.500 0.000 0.369
Si: 0.500 0.500 0.000
Ru: 0.000 0.000 0.500
Pt: 0.000 0.500 0.874
Pt: 0.500 0.000 0.126
Pt: 0.500 0.500 0.500

***

Entry 7:
Entry from the Alexandria database: crystalline SmNpRuPt at its relaxed geometry (GGA-PBE).

Values from the calculation:
Calculated density in Mg/m³: 13.6
Space-group type: F-43m, No. 216
Energy in eV per atom: -8.61

Cell lengths 6.940, 6.940, 6.940 Å; angles 90.00, 90.00, 90.00 degrees
Positions (direct):
Sm: 0.000 0.000 0.000
Sm: 0.000 0.500 0.500
Sm: 0.500 0.000 0.500
Sm: 0.500 0.500 0.000
Np: 0.000 0.000 0.500
Np: 0.000 0.500 0.000
Np: 0.500 0.000 0.000
Np: 0.500 0.500 0.500
Ru: 0.250 0.250 0.750
Ru: 0.250 0.750 0.250
Ru: 0.750 0.250 0.250
Ru: 0.750 0.750 0.750
Pt: 0.250 0.250 0.250
Pt: 0.250 0.750 0.750
Pt: 0.750 0.250 0.750
Pt: 0.750 0.750 0.250

***

Entry 8:
Entry from the Alexandria database: crystalline NpSnRuPt at its relaxed geometry (GGA-PBE).

Values from the calculation:
Calculated density in Mg/m³: 14.2
Space-group type: F-43m, No. 216
Energy in eV per atom: -8.30

Cell lengths 6.735, 6.735, 6.735 Å; angles 90.00, 90.00, 90.00 degrees
Positions (direct):
Np: 0.000 0.000 0.000
Np: 0.000 0.500 0.500
Np: 0.500 0.000 0.500
Np: 0.500 0.500 0.000
Sn: 0.000 0.000 0.500
Sn: 0.000 0.500 0.000
Sn: 0.500 0.000 0.000
Sn: 0.500 0.500 0.500
Ru: 0.250 0.250 0.250
Ru: 0.250 0.750 0.750
Ru: 0.750 0.250 0.750
Ru: 0.750 0.750 0.250
Pt: 0.250 0.250 0.750
Pt: 0.250 0.750 0.250
Pt: 0.750 0.250 0.250
Pt: 0.750 0.750 0.750